Record 1
Below is a relaxed BaHg2Pb crystal, with properties calculated at the GGA-PBE level.

CIF file:
```
data_BaHg2Pb
_chemical_formula_sum 'Ba4 Hg8 Pb4'
_cell_length_a 7.927
_cell_length_b 7.927
_cell_length_c 7.927
_cell_angle_alpha 90.00
_cell_angle_beta 90.00
_cell_angle_gamma 90.00
_space_group_name_H-M_alt 'F -4 3 m'
_space_group_IT_number 216
_space_group_name_Hall 'F -4 2 3'
loop_
_atom_site_label
_atom_site_type_symbol
_atom_site_fract_x
_atom_site_fract_y
_atom_site_fract_z
Ba1 Ba 0.000 0.000 0.000
Hg1 Hg 0.000 0.000 0.500
Hg2 Hg 0.250 0.250 0.750
Pb1 Pb 0.250 0.250 0.250
```

Values from the calculation:
Calculated volume = 498 Å³/cell
Offset from the most stable computed form = 107.4 meV per atom
Crystal system = cubic

---

Record 2
Below is a relaxed TbGaO3 crystal, with properties calculated at the GGA-PBE level.

CIF file:
```
data_TbGaO3
_chemical_formula_sum 'Tb1 Ga1 O3'
_cell_length_a 3.676
_cell_length_b 3.676
_cell_length_c 4.361
_cell_angle_alpha 90.00
_cell_angle_beta 90.00
_cell_angle_gamma 90.00
_space_group_name_H-M_alt 'P 4 m m'
_space_group_IT_number 99
loop_
_space_group_symop_operation_xyz
'x,y,z'
'-y,x,z'
'-x,-y,z'
'y,-x,z'
'-x,y,z'
'y,x,z'
'x,-y,z'
'-y,-x,z'
loop_
_atom_site_label
_atom_site_type_symbol
_atom_site_fract_x
_atom_site_fract_y
_atom_site_fract_z
Tb1 Tb 0.000 0.000 0.000
Ga1 Ga 0.500 0.500 0.564
O1 O 0.000 0.500 0.684
O2 O 0.500 0.500 0.143
```

Values from the calculation:
M_tot = 0.0 μB/f.u.
Calculated volume = 59 Å³/cell
Uncorrected energy = -35.26 eV for the cell shown
Crystal system = tetragonal

---

Record 3
Below is a relaxed HoSiNO crystal, with properties calculated at the GGA-PBE level.

CIF file:
```
data_HoSiNO
_chemical_formula_sum 'Ho4 Si4 N4 O4'
_cell_length_a 6.515
_cell_length_b 7.010
_cell_length_c 4.902
_cell_angle_alpha 90.00
_cell_angle_beta 90.00
_cell_angle_gamma 90.00
_space_group_name_H-M_alt 'P c a 21'
_space_group_IT_number 29
loop_
_space_group_symop_operation_xyz
'x,y,z'
'-x,-y,z+1/2'
'-x+1/2,y,z+1/2'
'x+1/2,-y,z'
loop_
_atom_site_label
_atom_site_type_symbol
_atom_site_fract_x
_atom_site_fract_y
_atom_site_fract_z
Ho1 Ho 0.085 0.171 0.000
Si1 Si 0.143 0.691 0.001
N1 N 0.063 0.148 0.503
O1 O 0.098 0.467 0.020
```

Values from the calculation:
M_tot = 0.0 μB/f.u.
Calculated volume = 224 Å³/cell
Offset from the most stable computed form = 10.5 meV per atom
Crystal system = orthorhombic

---

Record 4
Below is a relaxed PrNdBC2 crystal, with properties calculated at the GGA-PBE level.

CIF file:
```
data_PrNdBC2
_chemical_formula_sum 'Pr2 Nd2 B2 C4'
_cell_length_a 5.429
_cell_length_b 5.428
_cell_length_c 6.150
_cell_angle_alpha 90.00
_cell_angle_beta 115.24
_cell_angle_gamma 90.00
_space_group_name_H-M_alt 'C 1 m 1'
_space_group_IT_number 8
loop_
_space_group_symop_operation_xyz
'x,y,z'
'x,-y,z'
'x+1/2,y+1/2,z'
'x+1/2,-y+1/2,z'
loop_
_atom_site_label
_atom_site_type_symbol
_atom_site_fract_x
_atom_site_fract_y
_atom_site_fract_z
Pr1 Pr 0.000 0.000 0.000
Nd1 Nd 0.296 0.000 0.580
B1 B 0.147 0.500 0.289
C1 C 0.011 0.500 0.021
C2 C 0.284 0.500 0.557
```

Values from the calculation:
M_tot = 0.0 μB/f.u.
Calculated volume = 164 Å³/cell
Uncorrected energy = -72.14 eV for the cell shown
Crystal system = monoclinic

---

Record 5
Below is a relaxed TbScAs crystal, with properties calculated at the GGA-PBE level.

CIF file:
```
data_TbScAs
_chemical_formula_sum 'Tb4 Sc4 As4'
_cell_length_a 6.608
_cell_length_b 6.608
_cell_length_c 6.608
_cell_angle_alpha 90.00
_cell_angle_beta 90.00
_cell_angle_gamma 90.00
_space_group_name_H-M_alt 'F -4 3 m'
_space_group_IT_number 216
_space_group_name_Hall 'F -4 2 3'
loop_
_atom_site_label
_atom_site_type_symbol
_atom_site_fract_x
_atom_site_fract_y
_atom_site_fract_z
Tb1 Tb 0.000 0.000 0.000
Sc1 Sc 0.000 0.000 0.500
As1 As 0.250 0.250 0.750
```

Values from the calculation:
M_tot = 0.1 μB/f.u.
Calculated volume = 289 Å³/cell
Uncorrected energy = -71.56 eV for the cell shown
Crystal system = cubic

---

Record 6
Below is a relaxed KRbPm crystal, with properties calculated at the GGA-PBE level.

CIF file:
```
data_KRbPm
_chemical_formula_sum 'K4 Rb4 Pm4'
_cell_length_a 9.381
_cell_length_b 9.381
_cell_length_c 9.381
_cell_angle_alpha 90.00
_cell_angle_beta 90.00
_cell_angle_gamma 90.00
_space_group_name_H-M_alt 'F -4 3 m'
_space_group_IT_number 216
_space_group_name_Hall 'F -4 2 3'
loop_
_atom_site_label
_atom_site_type_symbol
_atom_site_fract_x
_atom_site_fract_y
_atom_site_fract_z
K1 K 0.000 0.000 0.000
Rb1 Rb 0.250 0.250 0.250
Pm1 Pm 0.250 0.250 0.750
```

Values from the calculation:
M_tot = 2.0 μB/f.u.
Calculated volume = 826 Å³/cell
Offset from the most stable computed form = 0.0 meV per atom
Crystal system = cubic

---

calculated volume of number 2 (TbGaO3)? 59 Å³/cell

---

calculated volume of number 4 (PrNdBC2)? 164 Å³/cell

---

Which of these has the highest calculated volume? KRbPm

---

Among the records above, which one has the lowest calculated volume? TbGaO3